KSrAl2 | GGA-PBE | optimized geometry

Cell: 5.873 5.873 3.693 Å, 90.00 90.00 89.83°
Fractional positions:
Al1 0.000 0.000 0.000
Al2 0.500 0.500 0.000
K1 0.500 0.000 0.500
Sr1 0.000 0.500 0.500

Results
The energy relative to the elements is 243 meV per atom. Its crystal system is orthorhombic. The density of states at the Fermi level comes out at 3.0 states/eV per cell. The volume comes out at 127 Å³/cell.

***

TmAlCoIr | GGA-PBE | optimized geometry

Cell: 4.464 4.464 4.464 Å, 60.00 60.00 60.00°
Fractional positions:
Ir1 0.500 0.500 0.500
Co1 0.000 0.000 0.000
Al1 0.750 0.750 0.750
Tm1 0.250 0.250 0.250

Results
The energy relative to the elements is -593 meV per atom. Its crystal system is cubic. The density of states at the Fermi level comes out at 1.5 states/eV per cell. The volume comes out at 63 Å³/cell.

***

PmTm3Ni | GGA-PBE | optimized geometry

Cell: 7.171 7.901 9.833 Å, 107.25 90.00 90.00°
Fractional positions:
Tm1 0.293 0.571 0.029
Tm2 0.010 0.787 0.882
Tm3 0.129 0.083 0.392
Tm4 0.990 0.213 0.118
Tm5 0.629 0.917 0.108
Tm6 0.371 0.083 0.892
Tm7 0.510 0.213 0.618
Tm8 0.871 0.917 0.608
Tm9 0.207 0.571 0.529
Tm10 0.707 0.429 0.971
Tm11 0.490 0.787 0.382
Tm12 0.793 0.429 0.471
Ni1 0.256 0.936 0.604
Ni2 0.244 0.936 0.104
Ni3 0.744 0.064 0.396
Ni4 0.756 0.064 0.896
Pm1 0.458 0.318 0.242
Pm2 0.958 0.682 0.258
Pm3 0.042 0.318 0.742
Pm4 0.542 0.682 0.758

Results
The energy relative to the elements is -124 meV per atom. Its crystal system is monoclinic. The density of states at the Fermi level comes out at 20.8 states/eV per cell. The volume comes out at 532 Å³/cell.

***

Rb2SrBr4 | GGA-PBE | optimized geometry

Cell: 5.961 5.961 9.773 Å, 72.24 72.24 90.00°
Fractional positions:
Rb1 0.360 0.360 0.281
Rb2 0.640 0.640 0.719
Sr1 0.000 0.000 0.000
Br1 0.000 0.500 0.000
Br2 0.171 0.171 0.659
Br3 0.829 0.829 0.341
Br4 0.500 0.000 0.000

Results
The formation energy (no corrections) comes out at -1874 meV/atom. Its crystal system is tetragonal. The density of states at the Fermi level comes out at 0.0 states/eV per cell. The volume comes out at 313 Å³/cell.

***

CrNi | GGA-PBE | optimized geometry

Cell: 2.363 6.140 9.702 Å, 90.00 90.00 90.00°
Fractional positions:
Ni1 0.500 0.329 0.754
Ni2 0.500 0.329 0.246
Ni3 0.500 0.309 0.000
Ni4 0.000 0.691 0.500
Ni5 0.000 0.671 0.254
Ni6 0.000 0.671 0.746
Cr1 0.500 0.978 0.129
Cr2 0.000 0.022 0.371
Cr3 0.500 0.339 0.500
Cr4 0.000 0.022 0.629
Cr5 0.500 0.978 0.871
Cr6 0.000 0.661 0.000

Results
The energy relative to the elements is 345 meV per atom. Its crystal system is orthorhombic. The density of states at the Fermi level comes out at 15.2 states/eV per cell. The volume comes out at 141 Å³/cell.

***

Sm3In2Ga | GGA-PBE | optimized geometry

Cell: 5.333 5.333 6.567 Å, 90.00 90.00 120.00°
Fractional positions:
Ga1 0.000 0.000 0.000
Sm1 0.333 0.667 0.154
Sm2 0.667 0.333 0.846
Sm3 0.000 0.000 0.500
In1 0.667 0.333 0.341
In2 0.333 0.667 0.659

Results
The energy relative to the elements is -500 meV per atom. Its crystal system is trigonal. The density of states at the Fermi level comes out at 3.5 states/eV per cell. The volume comes out at 162 Å³/cell.

***

BePC | GGA-PBE | optimized geometry

Cell: 4.716 3.471 8.650 Å, 90.00 106.11 90.00°
Fractional positions:
Be1 0.406 0.500 0.236
Be2 0.406 0.000 0.736
Be3 0.697 0.000 0.202
Be4 0.697 0.500 0.702
P1 0.726 0.500 0.058
P2 0.121 0.000 0.368
P3 0.121 0.500 0.868
P4 0.726 0.000 0.558
C1 0.488 0.000 0.349
C2 0.105 0.000 0.560
C3 0.105 0.500 0.060
C4 0.488 0.500 0.849

Results
The energy relative to the elements is 218 meV per atom. Its crystal system is monoclinic. The density of states at the Fermi level comes out at 2.2 states/eV per cell. The volume comes out at 136 Å³/cell.

***

Zr2BrCl | GGA-PBE | optimized geometry

Cell: 4.581 3.489 5.573 Å, 95.73 90.00 90.00°
Fractional positions:
Cl1 0.500 0.750 0.750
Zr1 0.000 0.999 0.983
Zr2 0.000 0.501 0.517
Br1 0.500 0.250 0.250

Results
The formation energy (no corrections) comes out at -466 meV/atom. Its crystal system is monoclinic. The density of states at the Fermi level comes out at 2.6 states/eV per cell. The volume comes out at 89 Å³/cell.

***

LiAl2Cd | GGA-PBE | optimized geometry

Cell: 4.056 4.092 4.271 Å, 90.00 90.00 90.00°
Fractional positions:
Al1 0.500 0.500 0.000
Al2 0.000 0.000 0.000
Li1 0.000 0.500 0.500
Cd1 0.500 0.000 0.500

Results
The energy relative to the elements is -73 meV per atom. Its crystal system is orthorhombic. The density of states at the Fermi level comes out at 0.9 states/eV per cell. The volume comes out at 71 Å³/cell.

***

BaSeBr2N | GGA-PBE | optimized geometry

Cell: 6.337 6.337 6.861 Å, 90.00 90.00 90.00°
Fractional positions:
Ba1 0.000 0.000 0.000
N1 0.500 0.500 0.500
Br1 0.000 0.500 0.000
Br2 0.500 0.000 0.000
Se1 0.000 0.000 0.500

Results
The formation energy (no corrections) comes out at 332 meV/atom. Its crystal system is tetragonal. The density of states at the Fermi level comes out at 3.7 states/eV per cell. The volume comes out at 276 Å³/cell.

***

Mg2SbTe | GGA-PBE | optimized geometry

Cell: 6.801 6.801 7.707 Å, 63.82 63.82 90.00°
Fractional positions:
Mg1 0.119 0.625 0.250
Mg2 0.631 0.125 0.250
Mg3 0.375 0.369 0.750
Mg4 0.875 0.881 0.750
Sb1 0.250 0.750 0.500
Sb2 0.500 0.500 0.000
Te1 0.000 0.000 0.000
Te2 0.750 0.250 0.500

Results
The formation energy (no corrections) comes out at -356 meV/atom. Its crystal system is tetragonal. The density of states at the Fermi level comes out at 9.3 states/eV per cell. The volume comes out at 279 Å³/cell.

***

Tb2TmScP4 | GGA-PBE | optimized geometry

Cell: 3.947 6.831 6.824 Å, 109.50 90.00 90.00°
Fractional positions:
Sc1 0.000 0.000 0.000
P1 0.500 0.241 0.238
P2 0.000 0.752 0.241
P3 0.500 0.759 0.762
P4 0.000 0.248 0.759
Tm1 0.500 0.500 0.000
Tb1 0.500 0.000 0.500
Tb2 0.000 0.500 0.500

Results
The energy relative to the elements is -1564 meV per atom. Its crystal system is monoclinic. The density of states at the Fermi level comes out at 0.9 states/eV per cell. The volume comes out at 173 Å³/cell.

***

YP2Br | GGA-PBE | optimized geometry

Cell: 5.506 5.506 5.186 Å, 81.33 81.33 36.68°
Fractional positions:
Y1 0.250 0.250 0.250
Br1 0.750 0.750 0.750
P1 0.513 0.513 0.383
P2 0.987 0.987 0.117

Results
The formation energy (no corrections) comes out at -814 meV/atom. Its crystal system is monoclinic. The density of states at the Fermi level comes out at 0.4 states/eV per cell. The volume comes out at 93 Å³/cell.